Material: AcErIn2Se4
Method: DFT, PBE-GGA
State: relaxed

Lattice parameters (Å, degrees): 4.331 8.101 7.529 72.15 90.00 90.00
Positions (direct):
Ac 0.500 0.500 0.000
Er 0.000 0.500 0.500
In 0.000 0.000 0.000
In 0.500 0.000 0.500
Se 0.000 0.718 0.740
Se 0.000 0.282 0.260
Se 0.500 0.709 0.283
Se 0.500 0.291 0.717

Properties
Crystal system = monoclinic
Space group = No. 10
V = 31.4 A^3/atom
Spin magnetization = 0.00 μB/f.u.
Raw formation energy = -1.295 eV/atom